Record 1
{"formula": "RuRhSCl2", "functional": "GGA-PBE", "state": "relaxed", "lattice_angstrom": [[4.815, 0.000, 0.000], [0.000, 4.815, 0.000], [0.000, 0.000, 4.577]], "species": ["Ru", "Rh", "S", "Cl", "Cl"], "frac_coords": [[0.000, 0.000, 0.000], [0.500, 0.500, 0.500], [0.500, 0.500, 0.000], [0.000, 0.500, 0.500], [0.500, 0.000, 0.500]], "polymorph_energy_ev_per_atom": 0.101, "n_ef_per_ev_cell": 4.74, "crystal_system": "tetragonal", "magnetic_moment_mub_per_cell": 3.7}

Record 2
{"formula": "GaPb3W", "functional": "GGA-PBE", "state": "relaxed", "lattice_angstrom": [[5.434, 0.000, 0.000], [0.000, 5.434, 0.000], [0.000, 0.000, 5.434]], "species": ["Ga", "Pb", "Pb", "Pb", "W"], "frac_coords": [[0.000, 0.000, 0.000], [0.000, 0.500, 0.500], [0.500, 0.000, 0.500], [0.500, 0.500, 0.000], [0.500, 0.500, 0.500]], "polymorph_energy_ev_per_atom": 0.000, "n_ef_per_ev_cell": 3.06, "formation_energy_ev_per_atom": 0.69, "crystal_system": "cubic", "magnetic_moment_mub_per_cell": 0.0}

Record 3
{"formula": "Ba2HfTe6Au2", "functional": "GGA-PBE", "state": "relaxed", "lattice_angstrom": [[7.692, -3.424, 0.000], [7.692, 3.424, 0.000], [-5.155, 0.000, 7.339]], "species": ["Ba", "Ba", "Hf", "Te", "Te", "Te", "Te", "Te", "Te", "Au", "Au"], "frac_coords": [[0.245, 0.245, 0.242], [0.755, 0.755, 0.758], [0.000, 0.000, 0.500], [0.181, 0.682, 0.190], [0.213, 0.213, 0.595], [0.318, 0.819, 0.810], [0.682, 0.181, 0.190], [0.787, 0.787, 0.405], [0.819, 0.318, 0.810], [0.424, 0.424, 0.796], [0.576, 0.576, 0.204]], "n_ef_per_ev_cell": 3.08, "crystal_system": "monoclinic", "total_energy_ev_per_cell": -47.70, "magnetic_moment_mub_per_cell": 0.0}